The following is a PBE calculation of a relaxed structure of ZrAl2Co, from Alexandria.

Cell lengths 3.013, 4.207, 5.217 Å; angles 90.00, 102.29, 90.00 degrees
Element x y z (fractional)
Zr 0.000 0.000 0.000
Al 0.364 0.500 0.725
Al 0.636 0.500 0.275
Co 0.500 0.000 0.500

Computed properties:
formation energy from the elements	-27	kJ per mole of atoms
crystal system	monoclinic
M_tot	0.584	μB per formula unit
E	-24.3	eV for the cell shown